KBa2W3O12: optimized geometry, GGA+U.

extended XYZ file:
```
18
Lattice="3.740 2.159 5.920 -3.740 2.159 5.920 0.000 -4.319 5.920" Properties=species:S:1:pos:R:3 pbc="T T T"
K 0.000 0.000 0.000
Ba 0.000 0.000 6.697
Ba 0.000 0.000 11.064
W -3.740 0.000 8.880
W -1.870 1.080 2.960
W 1.870 1.080 2.960
O -2.323 -1.341 9.201
O 0.000 -1.763 4.806
O -1.527 0.882 4.806
O 0.000 -2.683 8.560
O -2.323 1.341 8.560
O -1.527 -0.882 12.954
O 1.527 0.882 4.806
O 2.323 -1.341 9.201
O 0.000 2.683 9.201
O 1.527 -0.882 12.954
O 0.000 1.763 12.954
O 2.323 1.341 8.560
```

Summary:
- size of the total moment (μB/f.u.) = 1.20
- calculated total energy (eV for the cell shown) = -124.50